[1]
! Pm7Sm2Mg2 | Alexandria | PBE | optimized geometry; values from VASP
&SYSTEM
  ibrav = 0, nat = 11, ntyp = 3
/
ATOMIC_SPECIES
Pm 145.00 Pm.upf
Sm 150.36 Sm.upf
Mg 24.30 Mg.upf
CELL_PARAMETERS angstrom
4.913 -5.920 0.000
4.913 5.920 0.000
-2.646 0.000 6.278
ATOMIC_POSITIONS crystal
Pm 0.000 0.000 0.000
Pm 0.073 0.576 0.800
Pm 0.335 0.335 0.521
Pm 0.424 0.927 0.200
Pm 0.576 0.073 0.800
Pm 0.665 0.665 0.479
Pm 0.927 0.424 0.200
Sm 0.140 0.860 0.500
Sm 0.860 0.140 0.500
Mg 0.345 0.345 0.030
Mg 0.655 0.655 0.970
! Space-group type ... C2/m, No. 12
! Energy above the lowest structure with this stoichiometry ... 56.9 meV/atom

[2]
! Pm3Sm3Mg2 | Alexandria | PBE | optimized geometry; values from VASP
&SYSTEM
  ibrav = 0, nat = 16, ntyp = 3
/
ATOMIC_SPECIES
Pm 145.00 Pm.upf
Sm 150.36 Sm.upf
Mg 24.30 Mg.upf
CELL_PARAMETERS angstrom
2.708 -5.936 0.000
2.708 5.936 0.000
0.000 0.000 15.928
ATOMIC_POSITIONS crystal
Pm 0.029 0.971 0.750
Pm 0.145 0.855 0.029
Pm 0.145 0.855 0.471
Pm 0.855 0.145 0.529
Pm 0.855 0.145 0.971
Pm 0.971 0.029 0.250
Sm 0.245 0.755 0.250
Sm 0.458 0.542 0.104
Sm 0.458 0.542 0.396
Sm 0.542 0.458 0.604
Sm 0.542 0.458 0.896
Sm 0.755 0.245 0.750
Mg 0.278 0.722 0.648
Mg 0.278 0.722 0.852
Mg 0.722 0.278 0.148
Mg 0.722 0.278 0.352
! Space-group type ... Cmcm, No. 63
! E_tot ... -62.18 eV/cell

[3]
! Pm3Sm7Mg | Alexandria | PBE | optimized geometry; values from VASP
&SYSTEM
  ibrav = 0, nat = 11, ntyp = 3
/
ATOMIC_SPECIES
Pm 145.00 Pm.upf
Sm 150.36 Sm.upf
Mg 24.30 Mg.upf
CELL_PARAMETERS angstrom
7.116 0.000 0.000
-3.558 6.163 0.000
0.000 0.000 8.727
ATOMIC_POSITIONS crystal
Pm 0.168 0.336 0.000
Pm 0.168 0.832 0.000
Pm 0.664 0.832 0.000
Sm 0.004 0.502 0.664
Sm 0.333 0.166 0.336
Sm 0.333 0.667 0.333
Sm 0.498 0.502 0.664
Sm 0.498 0.996 0.664
Sm 0.834 0.166 0.336
Sm 0.834 0.667 0.336
Mg 0.000 0.000 0.662
! Space-group type ... P3m1, No. 156
! E_tot ... -46.96 eV/cell

[4]
! PmSm3Mg2 | Alexandria | PBE | optimized geometry; values from VASP
&SYSTEM
  ibrav = 0, nat = 6, ntyp = 3
/
ATOMIC_SPECIES
Pm 145.00 Pm.upf
Sm 150.36 Sm.upf
Mg 24.30 Mg.upf
CELL_PARAMETERS angstrom
3.766 0.000 0.000
0.000 3.766 0.000
0.000 0.000 12.897
ATOMIC_POSITIONS crystal
Pm 0.000 0.000 0.000
Sm 0.500 0.500 0.194
Sm 0.500 0.500 0.500
Sm 0.500 0.500 0.806
Mg 0.000 0.000 0.348
Mg 0.000 0.000 0.652
! Space-group type ... P4/mmm, No. 123
! E_tot ... -22.43 eV/cell

[5]
! Pm4Sm4Mg | Alexandria | PBE | optimized geometry; values from VASP
&SYSTEM
  ibrav = 0, nat = 18, ntyp = 3
/
ATOMIC_SPECIES
Pm 145.00 Pm.upf
Sm 150.36 Sm.upf
Mg 24.30 Mg.upf
CELL_PARAMETERS angstrom
6.810 0.000 0.000
2.938 8.819 0.000
2.913 3.535 9.959
ATOMIC_POSITIONS crystal
Pm 0.059 0.187 0.095
Pm 0.064 0.190 0.428
Pm 0.266 0.468 0.798
Pm 0.382 0.858 0.647
Pm 0.618 0.142 0.353
Pm 0.734 0.532 0.202
Pm 0.936 0.810 0.572
Pm 0.941 0.813 0.905
Sm 0.280 0.473 0.460
Sm 0.285 0.471 0.134
Sm 0.382 0.864 0.986
Sm 0.394 0.861 0.312
Sm 0.606 0.139 0.688
Sm 0.618 0.136 0.014
Sm 0.715 0.529 0.866
Sm 0.720 0.527 0.540
Mg 0.053 0.195 0.758
Mg 0.947 0.805 0.242
! Space-group type ... P-1, No. 2
! E_tot ... -78.70 eV/cell

[6]
! Pm5Sm6Mg2 | Alexandria | PBE | optimized geometry; values from VASP
&SYSTEM
  ibrav = 0, nat = 26, ntyp = 3
/
ATOMIC_SPECIES
Pm 145.00 Pm.upf
Sm 150.36 Sm.upf
Mg 24.30 Mg.upf
CELL_PARAMETERS angstrom
10.609 0.000 0.000
0.000 22.893 0.000
0.000 0.000 3.577
ATOMIC_POSITIONS crystal
Pm 0.000 0.000 0.000
Pm 0.083 0.251 0.000
Pm 0.167 0.506 0.000
Pm 0.333 0.006 0.000
Pm 0.417 0.751 0.000
Pm 0.500 0.500 0.000
Pm 0.583 0.249 0.000
Pm 0.667 0.994 0.000
Pm 0.833 0.494 0.000
Pm 0.917 0.749 0.000
Sm 0.018 0.387 0.500
Sm 0.146 0.118 0.500
Sm 0.168 0.866 0.000
Sm 0.332 0.366 0.000
Sm 0.354 0.618 0.500
Sm 0.482 0.887 0.500
Sm 0.518 0.113 0.500
Sm 0.646 0.382 0.500
Sm 0.668 0.634 0.000
Sm 0.832 0.134 0.000
Sm 0.854 0.882 0.500
Sm 0.982 0.613 0.500
Mg 0.167 0.739 0.500
Mg 0.333 0.239 0.500
Mg 0.667 0.761 0.500
Mg 0.833 0.261 0.500
! Space-group type ... Pbam, No. 55
! E_tot ... -107.33 eV/cell

[7]
! Pm3Sm4Mg4 | Alexandria | PBE | optimized geometry; values from VASP
&SYSTEM
  ibrav = 0, nat = 11, ntyp = 3
/
ATOMIC_SPECIES
Pm 145.00 Pm.upf
Sm 150.36 Sm.upf
Mg 24.30 Mg.upf
CELL_PARAMETERS angstrom
-2.768 3.485 8.943
2.768 -3.485 8.943
2.768 3.485 -8.943
ATOMIC_POSITIONS crystal
Pm 0.000 0.000 0.000
Pm 0.395 0.895 0.500
Pm 0.605 0.105 0.500
Sm 0.053 0.316 0.737
Sm 0.422 0.684 0.737
Sm 0.578 0.316 0.263
Sm 0.947 0.684 0.263
Mg 0.170 0.170 0.000
Mg 0.282 0.500 0.782
Mg 0.718 0.500 0.218
Mg 0.830 0.830 0.000
! Space-group type ... Immm, No. 71
! E_tot ... -38.35 eV/cell

[8]
! Pm4SmMg5 | Alexandria | PBE | optimized geometry; values from VASP
&SYSTEM
  ibrav = 0, nat = 10, ntyp = 3
/
ATOMIC_SPECIES
Pm 145.00 Pm.upf
Sm 150.36 Sm.upf
Mg 24.30 Mg.upf
CELL_PARAMETERS angstrom
3.856 0.000 0.000
0.000 3.856 0.000
0.000 0.000 19.361
ATOMIC_POSITIONS crystal
Pm 0.000 0.000 0.100
Pm 0.000 0.000 0.301
Pm 0.000 0.000 0.699
Pm 0.000 0.000 0.900
Sm 0.000 0.000 0.500
Mg 0.500 0.500 0.000
Mg 0.500 0.500 0.201
Mg 0.500 0.500 0.401
Mg 0.500 0.500 0.599
Mg 0.500 0.500 0.799
! Space-group type ... P4/mmm, No. 123
! E_tot ... -32.75 eV/cell

[9]
! Pm8Sm2Mg | Alexandria | PBE | optimized geometry; values from VASP
&SYSTEM
  ibrav = 0, nat = 11, ntyp = 3
/
ATOMIC_SPECIES
Pm 145.00 Pm.upf
Sm 150.36 Sm.upf
Mg 24.30 Mg.upf
CELL_PARAMETERS angstrom
9.192 -2.564 0.000
9.192 2.564 0.000
-2.144 0.000 7.786
ATOMIC_POSITIONS crystal
Pm 0.045 0.045 0.223
Pm 0.136 0.136 0.680
Pm 0.319 0.319 0.590
Pm 0.410 0.410 0.051
Pm 0.590 0.590 0.949
Pm 0.681 0.681 0.410
Pm 0.864 0.864 0.320
Pm 0.955 0.955 0.777
Sm 0.225 0.225 0.136
Sm 0.775 0.775 0.864
Mg 0.500 0.500 0.500
! Space-group type ... C2/m, No. 12
! Energy above the lowest structure with this stoichiometry ... 0.0 meV/atom

[10]
! Pm8Sm2Mg | Alexandria | PBE | optimized geometry; values from VASP
&SYSTEM
  ibrav = 0, nat = 11, ntyp = 3
/
ATOMIC_SPECIES
Pm 145.00 Pm.upf
Sm 150.36 Sm.upf
Mg 24.30 Mg.upf
CELL_PARAMETERS angstrom
-2.822 3.888 8.576
2.822 -3.888 8.576
2.822 3.888 -8.576
ATOMIC_POSITIONS crystal
Pm 0.147 0.366 0.781
Pm 0.174 0.174 0.000
Pm 0.266 0.000 0.266
Pm 0.415 0.634 0.781
Pm 0.585 0.366 0.219
Pm 0.734 0.000 0.734
Pm 0.826 0.826 0.000
Pm 0.853 0.634 0.219
Sm 0.305 0.805 0.500
Sm 0.695 0.195 0.500
Mg 0.000 0.500 0.500
! Space-group type ... Immm, No. 71
! Energy above the lowest structure with this stoichiometry ... 89.1 meV/atom

[11]
! PmSm2Mg | Alexandria | PBE | optimized geometry; values from VASP
&SYSTEM
  ibrav = 0, nat = 12, ntyp = 3
/
ATOMIC_SPECIES
Pm 145.00 Pm.upf
Sm 150.36 Sm.upf
Mg 24.30 Mg.upf
CELL_PARAMETERS angstrom
3.581 0.000 0.000
-1.791 3.101 0.000
0.000 0.000 34.463
ATOMIC_POSITIONS crystal
Pm 0.000 0.000 0.000
Pm 0.333 0.667 0.667
Pm 0.667 0.333 0.333
Sm 0.000 0.000 0.420
Sm 0.000 0.000 0.581
Sm 0.333 0.667 0.087
Sm 0.333 0.667 0.248
Sm 0.667 0.333 0.753
Sm 0.667 0.333 0.915
Mg 0.000 0.000 0.167
Mg 0.333 0.667 0.834
Mg 0.667 0.333 0.501
! Space-group type ... R3m, No. 160
! Energy above the lowest structure with this stoichiometry ... 76.1 meV/atom

[12]
! Pm2SmMg4 | Alexandria | PBE | optimized geometry; values from VASP
&SYSTEM
  ibrav = 0, nat = 14, ntyp = 3
/
ATOMIC_SPECIES
Pm 145.00 Pm.upf
Sm 150.36 Sm.upf
Mg 24.30 Mg.upf
CELL_PARAMETERS angstrom
6.067 0.000 0.000
0.000 13.207 0.000
0.000 0.000 5.526
ATOMIC_POSITIONS crystal
Pm 0.000 0.136 0.000
Pm 0.000 0.864 0.000
Pm 0.500 0.364 0.000
Pm 0.500 0.636 0.000
Sm 0.000 0.500 0.500
Sm 0.500 0.000 0.500
Mg 0.000 0.261 0.500
Mg 0.000 0.384 0.000
Mg 0.000 0.616 0.000
Mg 0.000 0.739 0.500
Mg 0.500 0.116 0.000
Mg 0.500 0.239 0.500
Mg 0.500 0.761 0.500
Mg 0.500 0.884 0.000
! Space-group type ... Cmmm, No. 65
! Energy above the lowest structure with this stoichiometry ... 222.4 meV/atom

[13]
! PmSm2Mg | Alexandria | PBE | optimized geometry; values from VASP
&SYSTEM
  ibrav = 0, nat = 12, ntyp = 3
/
ATOMIC_SPECIES
Pm 145.00 Pm.upf
Sm 150.36 Sm.upf
Mg 24.30 Mg.upf
CELL_PARAMETERS angstrom
3.506 0.000 0.000
-1.753 3.036 0.000
0.000 0.000 37.554
ATOMIC_POSITIONS crystal
Pm 0.000 0.000 0.000
Pm 0.333 0.667 0.667
Pm 0.667 0.333 0.333
Sm 0.000 0.000 0.411
Sm 0.000 0.000 0.589
Sm 0.333 0.667 0.078
Sm 0.333 0.667 0.255
Sm 0.667 0.333 0.745
Sm 0.667 0.333 0.922
Mg 0.000 0.000 0.500
Mg 0.333 0.667 0.167
Mg 0.667 0.333 0.833
! Space-group type ... R-3m, No. 166
! Energy above the lowest structure with this stoichiometry ... 236.3 meV/atom

[14]
! Pm2Sm5Mg | Alexandria | PBE | optimized geometry; values from VASP
&SYSTEM
  ibrav = 0, nat = 8, ntyp = 3
/
ATOMIC_SPECIES
Pm 145.00 Pm.upf
Sm 150.36 Sm.upf
Mg 24.30 Mg.upf
CELL_PARAMETERS angstrom
0.000 5.767 6.299
3.610 0.000 6.299
3.610 5.767 0.000
ATOMIC_POSITIONS crystal
Pm 0.240 0.760 0.240
Pm 0.760 0.240 0.760
Sm 0.252 0.252 0.248
Sm 0.342 0.342 0.658
Sm 0.346 0.824 0.654
Sm 0.752 0.752 0.748
Sm 0.824 0.346 0.176
Mg 0.833 0.833 0.167
! Space-group type ... Fmm2, No. 42
! Energy above the lowest structure with this stoichiometry ... 4.6 meV/atom

[15]
! Pm3Sm2Mg8 | Alexandria | PBE | optimized geometry; values from VASP
&SYSTEM
  ibrav = 0, nat = 13, ntyp = 3
/
ATOMIC_SPECIES
Pm 145.00 Pm.upf
Sm 150.36 Sm.upf
Mg 24.30 Mg.upf
CELL_PARAMETERS angstrom
2.944 1.700 12.585
-2.944 1.700 12.585
0.000 -3.399 12.585
ATOMIC_POSITIONS crystal
Pm 0.000 0.000 0.000
Pm 0.184 0.184 0.184
Pm 0.816 0.816 0.816
Sm 0.360 0.360 0.360
Sm 0.640 0.640 0.640
Mg 0.230 0.731 0.731
Mg 0.269 0.269 0.770
Mg 0.269 0.770 0.269
Mg 0.275 0.275 0.275
Mg 0.725 0.725 0.725
Mg 0.731 0.230 0.731
Mg 0.731 0.731 0.230
Mg 0.770 0.269 0.269
! Space-group type ... R-3m, No. 166
! E_tot ... -35.15 eV/cell

[16]
! Pm3SmMg | Alexandria | PBE | optimized geometry; values from VASP
&SYSTEM
  ibrav = 0, nat = 10, ntyp = 3
/
ATOMIC_SPECIES
Pm 145.00 Pm.upf
Sm 150.36 Sm.upf
Mg 24.30 Mg.upf
CELL_PARAMETERS angstrom
3.781 0.000 0.000
0.000 9.639 0.000
-1.878 0.000 9.523
ATOMIC_POSITIONS crystal
Pm 0.098 0.004 0.195
Pm 0.098 0.496 0.195
Pm 0.304 0.250 0.608
Pm 0.696 0.750 0.392
Pm 0.902 0.504 0.805
Pm 0.902 0.996 0.805
Sm 0.491 0.250 0.982
Sm 0.509 0.750 0.018
Mg 0.333 0.750 0.666
Mg 0.667 0.250 0.334
! Space-group type ... P2_1/m, No. 11
! Energy above the lowest structure with this stoichiometry ... 196.9 meV/atom

[17]
! Pm5Sm4Mg2 | Alexandria | PBE | optimized geometry; values from VASP
&SYSTEM
  ibrav = 0, nat = 11, ntyp = 3
/
ATOMIC_SPECIES
Pm 145.00 Pm.upf
Sm 150.36 Sm.upf
Mg 24.30 Mg.upf
CELL_PARAMETERS angstrom
8.816 0.000 0.000
0.000 3.499 0.000
-0.822 0.000 11.561
ATOMIC_POSITIONS crystal
Pm 0.000 0.000 0.000
Pm 0.069 0.000 0.295
Pm 0.295 0.000 0.833
Pm 0.705 0.000 0.167
Pm 0.931 0.000 0.705
Sm 0.218 0.500 0.548
Sm 0.352 0.500 0.114
Sm 0.648 0.500 0.886
Sm 0.782 0.500 0.452
Mg 0.447 0.000 0.368
Mg 0.553 0.000 0.632
! Space-group type ... P2/m, No. 10
! Energy above the lowest structure with this stoichiometry ... 16.3 meV/atom

[18]
! Pm7Sm2Mg2 | Alexandria | PBE | optimized geometry; values from VASP
&SYSTEM
  ibrav = 0, nat = 11, ntyp = 3
/
ATOMIC_SPECIES
Pm 145.00 Pm.upf
Sm 150.36 Sm.upf
Mg 24.30 Mg.upf
CELL_PARAMETERS angstrom
-1.817 8.858 5.753
1.817 -8.858 5.753
1.817 8.858 -5.753
ATOMIC_POSITIONS crystal
Pm 0.000 0.000 0.000
Pm 0.139 0.796 0.343
Pm 0.445 0.555 0.890
Pm 0.452 0.796 0.657
Pm 0.633 0.307 0.325
Pm 0.666 0.555 0.110
Pm 0.982 0.307 0.675
Sm 0.266 0.052 0.214
Sm 0.838 0.052 0.786
Mg 0.301 0.301 0.000
Mg 0.747 0.247 0.500
! Space-group type ... Imm2, No. 44
! Energy above the lowest structure with this stoichiometry ... 0.0 meV/atom

[19]
! Pm2Sm8Mg | Alexandria | PBE | optimized geometry; values from VASP
&SYSTEM
  ibrav = 0, nat = 11, ntyp = 3
/
ATOMIC_SPECIES
Pm 145.00 Pm.upf
Sm 150.36 Sm.upf
Mg 24.30 Mg.upf
CELL_PARAMETERS angstrom
-2.812 3.884 8.542
2.812 -3.884 8.542
2.812 3.884 -8.542
ATOMIC_POSITIONS crystal
Pm 0.195 0.195 0.000
Pm 0.805 0.805 0.000
Sm 0.085 0.365 0.720
Sm 0.234 0.000 0.234
Sm 0.326 0.826 0.500
Sm 0.355 0.635 0.720
Sm 0.645 0.365 0.280
Sm 0.674 0.174 0.500
Sm 0.766 0.000 0.766
Sm 0.915 0.635 0.280
Mg 0.500 0.500 0.000
! Space-group type ... Immm, No. 71
! Energy above the lowest structure with this stoichiometry ... 0.0 meV/atom

[20]
! Pm5SmMg3 | Alexandria | PBE | optimized geometry; values from VASP
&SYSTEM
  ibrav = 0, nat = 18, ntyp = 3
/
ATOMIC_SPECIES
Pm 145.00 Pm.upf
Sm 150.36 Sm.upf
Mg 24.30 Mg.upf
CELL_PARAMETERS angstrom
9.588 0.000 0.000
-4.794 8.303 0.000
0.000 0.000 7.048
ATOMIC_POSITIONS crystal
Pm 0.000 0.333 0.250
Pm 0.000 0.667 0.750
Pm 0.333 0.000 0.250
Pm 0.333 0.333 0.750
Pm 0.333 0.667 0.000
Pm 0.333 0.667 0.500
Pm 0.667 0.000 0.750
Pm 0.667 0.333 0.000
Pm 0.667 0.333 0.500
Pm 0.667 0.667 0.250
Sm 0.000 0.000 0.000
Sm 0.000 0.000 0.500
Mg 0.000 0.333 0.750
Mg 0.000 0.667 0.250
Mg 0.333 0.000 0.750
Mg 0.333 0.333 0.250
Mg 0.667 0.000 0.250
Mg 0.667 0.667 0.750
! Space-group type ... P6_3/mcm, No. 193
! E_tot ... -66.46 eV/cell